Entry 1:
The following is a GGA-PBE calculation of crystalline VSiPt at its relaxed geometry, from Alexandria via LeMat-Bulk.

Calculated values
For the density of states at the Fermi level, the calculation gives 3.12 states/eV/f.u. The value obtained for the raw formation energy is -300 meV per atom. For the total magnetic moment, the calculation gives 2.34 μB per cell. The calculation puts the calculated volume at 86.7 Å³ per cell.

The structure in POSCAR format:
```
VSiPt
1.0
4.6718 0.0000 0.0000
-2.3359 3.5392 0.0000
0.0000 0.0000 5.2432
V Si Pt
2 2 2
direct
0.6401 0.2803 0.7500
0.3599 0.7197 0.2500
0.6983 0.3966 0.2500
0.3017 0.6034 0.7500
0.0000 0.0000 0.0000
0.0000 0.0000 0.5000
```

=====

Entry 2:
The following is a GGA-PBE calculation of crystalline V12Si3Pt at its relaxed geometry, from Alexandria via LeMat-Bulk.

Calculated values
For the density of states at the Fermi level, the calculation gives 18.90 states/eV/f.u. The value obtained for the raw formation energy is -461 meV per atom. For the total magnetic moment, the calculation gives 0.00 μB per cell. The calculation puts the calculated volume at 212.1 Å³ per cell.

The structure in POSCAR format:
```
V12Si3Pt
1.0
4.7371 0.0000 0.0000
0.0000 4.7301 0.0000
0.0000 0.0000 9.4652
V Si Pt
12 3 1
direct
0.5000 0.0000 0.3773
0.5000 0.0000 0.8704
0.7481 0.5000 0.0000
0.7479 0.5000 0.5000
0.0000 0.7469 0.2456
0.0000 0.7469 0.7544
0.5000 0.0000 0.1296
0.5000 0.0000 0.6227
0.2519 0.5000 0.0000
0.2521 0.5000 0.5000
0.0000 0.2531 0.2456
0.0000 0.2531 0.7544
0.5000 0.5000 0.2473
0.5000 0.5000 0.7527
0.0000 0.0000 0.0000
0.0000 0.0000 0.5000
```

=====

Entry 3:
The following is a GGA-PBE calculation of crystalline V2SiPt at its relaxed geometry, from Alexandria via LeMat-Bulk.

Calculated values
For the density of states at the Fermi level, the calculation gives 3.22 states/eV/f.u. The value obtained for the raw formation energy is -32 meV per atom. For the total magnetic moment, the calculation gives 0.00 μB per cell. The calculation puts the calculated volume at 119.7 Å³ per cell.

The structure in POSCAR format:
```
V2SiPt
1.0
6.8622 0.0000 0.0000
0.0000 6.8622 0.0000
3.4311 3.4311 2.5414
Si Pt V
2 2 4
direct
0.5000 0.5000 0.0000
0.2500 0.7500 0.5000
0.0000 0.0000 0.0000
0.7500 0.2500 0.5000
0.6164 0.1250 0.2500
0.1336 0.6250 0.2500
0.3750 0.3836 0.7500
0.8750 0.8664 0.7500
```

=====

Question: What is the raw formation energy in the third record?
Answer: -32 meV per atom

=====

Question: Which formula does entry 3 have?
Answer: V2SiPt